First-principles (PBE) data for a relaxed Ho3ZnRh8 crystal, as listed in Alexandria.

abc: 5.2690 5.2690 9.1540
angles: 73.27 73.27 60.00
Sites, in units of the cell vectors:
Ho  0.6239  0.6239  0.1283
Ho  0.0068  0.0068  0.9796
Ho  0.4947  0.4947  0.5159
Zn  0.1300  0.1300  0.6100
Rh  0.5629  0.0620  0.8122
Rh  0.0614  0.5607  0.3164
Rh  0.5629  0.5629  0.8122
Rh  0.0614  0.0614  0.3164
Rh  0.8115  0.8115  0.5654
Rh  0.3117  0.3117  0.0648
Rh  0.0620  0.5629  0.8122
Rh  0.5607  0.0614  0.3164

The value obtained for the raw total energy is -6.74 eV/atom. For the calculated formation energy, the calculation gives -7.04 eV/f.u. For the density of states at the Fermi level, the calculation gives 0.759 states/eV per atom.